First-principles (PBE) data for a relaxed structure of Rb2Be2Hg3, as listed in the Open Quantum Materials Database.

Output
The value obtained for the energy is -19.83 eV per cell.

```
data_Rb2Be2Hg3
_chemical_formula_sum 'Rb6 Be6 Hg9'
_symmetry_space_group_name_H-M 'R 3 m'
_symmetry_Int_Tables_number 160
_symmetry_space_group_name_Hall 'R 3 -2"'
_cell_length_a 5.3458
_cell_length_b 5.3458
_cell_length_c 27.8532
_cell_angle_alpha 90.00
_cell_angle_beta 90.00
_cell_angle_gamma 120.00
loop_
_atom_site_label
_atom_site_type_symbol
_atom_site_fract_x
_atom_site_fract_y
_atom_site_fract_z
Rb1 Rb 0.0000 0.0000 0.0000
Rb2 Rb 0.0000 0.0000 0.4740
Be1 Be 0.0000 0.0000 0.2575
Be2 Be 0.0000 0.0000 0.6904
Hg1 Hg 0.0000 0.0000 0.3487
Hg2 Hg 0.0000 0.0000 0.6011
Hg3 Hg 0.0000 0.0000 0.8824
```

***

First-principles (PBE) data for a relaxed structure of Cu4Ag, as listed in the Open Quantum Materials Database.

Output
Its calculated formation energy is 69.5 meV/atom.

```
data_Cu4Ag
_chemical_formula_sum 'Cu16 Ag4'
_symmetry_space_group_name_H-M 'P 1'
_symmetry_Int_Tables_number 1
_symmetry_space_group_name_Hall 'P 1'
_cell_length_a 4.5256
_cell_length_b 6.9281
_cell_length_c 9.1858
_cell_angle_alpha 71.50
_cell_angle_beta 80.88
_cell_angle_gamma 71.46
loop_
_atom_site_label
_atom_site_type_symbol
_atom_site_fract_x
_atom_site_fract_y
_atom_site_fract_z
Cu1 Cu 0.0000 0.0000 0.0000
Cu2 Cu 0.0001 0.2001 0.1976
Cu3 Cu 0.0103 0.3877 0.9099
Cu4 Cu 0.0119 0.7904 0.3003
Cu5 Cu 0.0133 0.3970 0.3889
Cu6 Cu 0.0195 0.9981 0.4829
Cu7 Cu 0.0208 0.5879 0.1015
Cu8 Cu 0.0221 0.2016 0.6727
Cu9 Cu 0.0311 0.5940 0.5803
Cu10 Cu 0.5075 0.2996 0.0528
Cu11 Cu 0.5114 0.1017 0.3436
Cu12 Cu 0.5123 0.4884 0.2482
Cu13 Cu 0.5148 0.6803 0.9578
Cu14 Cu 0.5191 0.6922 0.4428
Cu15 Cu 0.5207 0.2966 0.5305
Cu16 Cu 0.5208 0.9050 0.6225
Ag1 Ag 0.0164 0.7943 0.7921
Ag2 Ag 0.4939 0.0956 0.8378
Ag3 Ag 0.5079 0.8930 0.1506
Ag4 Ag 0.5386 0.4964 0.7404
```